Record 1
Density functional theory data (PBE-GGA) for a geometry-optimized TiBeCuAg structure.

Lattice parameters (Å, degrees): 6.014 6.014 6.014 90.00 90.00 90.00
Space group F-43m (No. 216)
One atom of each set of equivalent atoms:
Ti (0.000, 0.000, 0.000) x4
Be (0.250, 0.250, 0.750) x4
Cu (0.250, 0.250, 0.250) x4
Ag (0.000, 0.000, 0.500) x4

Calculated values
**Energy**: -4.5964 eV per atom
**ΔH_f (0 K)**: 0.0457 eV/atom

Record 2
Density functional theory data (PBE-GGA) for a geometry-optimized Y2Be3Cu12Ag structure.

Lattice parameters (Å, degrees): 7.4127 7.4127 18.4549 90.00 90.00 120.00
Space group R-3m (No. 166, hexagonal axes)
One atom of each set of equivalent atoms:
Y (0.0000, 0.0000, 0.1011) x6
Be (0.0000, 0.5000, 0.0000) x9
Cu (0.0357, 0.5179, 0.3561) x18
Cu (0.0417, 0.5208, 0.8828) x18
Ag (0.0000, 0.0000, 0.5000) x3

Calculated values
**Energy**: -3.8764 eV per atom
**ΔH_f (0 K)**: 0.3521 eV/atom

Record 3
Density functional theory data (PBE-GGA) for a geometry-optimized ZrBeCuAg structure.

Lattice parameters (Å, degrees): 6.227 6.227 6.227 90.00 90.00 90.00
Space group F-43m (No. 216)
One atom of each set of equivalent atoms:
Zr (0.000, 0.000, 0.000) x4
Be (0.250, 0.250, 0.750) x4
Cu (0.250, 0.250, 0.250) x4
Ag (0.000, 0.000, 0.500) x4

Calculated values
**Energy**: -4.8243 eV per atom
**ΔH_f (0 K)**: -0.0189 eV/atom

| no. | ρ (g cm⁻³) |
| --- | --- |
| 1 | 6.97 |
| 2 | 6.10 |
| 3 | 7.47 |